Material: Ca2TiIn2
Method: DFT, PBE
State: optimized geometry

Unit cell a=4.168 b=4.168 c=9.568 alpha=77.42 beta=77.42 gamma=90.00
Sites, in units of the cell vectors:
Ca: 0.401 0.401 0.198
Ca: 0.599 0.599 0.802
Ti: 0.000 0.000 0.000
In: 0.750 0.250 0.500
In: 0.250 0.750 0.500

VASP energy = -3.131 eV/atom
offset from the most stable computed form = 0.409 eV per atom
energy of formation from the pure elements = 0.34 eV/atom

=====

Material: Nd2GeBi
Method: DFT, PBE
State: optimized geometry

Unit cell a=4.338 b=4.587 c=12.315 alpha=100.73 beta=90.00 gamma=90.00
Sites, in units of the cell vectors:
Nd: 0.750 0.676 0.351
Nd: 0.250 0.324 0.649
Nd: 0.750 0.940 0.880
Nd: 0.250 0.060 0.120
Ge: 0.250 0.460 0.920
Ge: 0.750 0.540 0.080
Bi: 0.250 0.190 0.380
Bi: 0.750 0.810 0.620

VASP energy = -5.328 eV/atom
offset from the most stable computed form = 0.000 eV per atom
energy of formation from the pure elements = -0.82 eV/atom

=====

Material: TlSiHg2
Method: DFT, PBE
State: optimized geometry

Unit cell a=5.526 b=5.526 c=3.233 alpha=90.00 beta=90.00 gamma=90.00
Sites, in units of the cell vectors:
Hg: 0.000 0.000 0.000
Hg: 0.500 0.500 0.000
Si: 0.500 0.000 0.500
Tl: 0.000 0.500 0.500

VASP energy = -1.691 eV/atom

=====

Material: PuTi2Re
Method: DFT, PBE
State: optimized geometry

Unit cell a=3.119 b=3.119 c=7.406 alpha=90.00 beta=90.00 gamma=90.00
Sites, in units of the cell vectors:
Re: 0.500 0.500 0.000
Ti: 0.000 0.000 0.797
Ti: 0.000 0.000 0.203
Pu: 0.500 0.500 0.500

VASP energy = -10.752 eV/atom
offset from the most stable computed form = 0.000 eV per atom
energy of formation from the pure elements = -0.11 eV/atom

=====

Material: Pu2UV
Method: DFT, PBE
State: optimized geometry

Unit cell a=3.383 b=3.383 c=6.753 alpha=90.00 beta=90.00 gamma=90.00
Sites, in units of the cell vectors:
V: 0.500 0.500 0.500
U: 0.500 0.500 0.000
Pu: 0.000 0.000 0.734
Pu: 0.000 0.000 0.266

VASP energy = -11.995 eV/atom
offset from the most stable computed form = 0.000 eV per atom
energy of formation from the pure elements = 0.27 eV/atom

=====

Material: Ca2MoIr
Method: DFT, PBE
State: optimized geometry

Unit cell a=2.970 b=2.970 c=9.300 alpha=90.00 beta=90.00 gamma=90.08
Sites, in units of the cell vectors:
Mo: 0.500 0.500 0.750
Ir: 0.500 0.500 0.250
Ca: 0.000 0.000 0.026
Ca: 0.000 0.000 0.474

VASP energy = -5.499 eV/atom
offset from the most stable computed form = 0.410 eV per atom
energy of formation from the pure elements = 0.43 eV/atom

=====

Material: ErMg11
Method: DFT, PBE
State: optimized geometry

Unit cell a=7.864 b=9.426 c=9.426 alpha=79.98 beta=65.34 gamma=65.34
Sites, in units of the cell vectors:
Er: 0.500 0.000 0.000
Er: 0.250 0.500 0.500
Mg: 0.428 0.825 0.417
Mg: 0.671 0.175 0.583
Mg: 0.000 0.000 0.000
Mg: 0.750 0.500 0.500
Mg: 0.375 0.750 0.750
Mg: 0.875 0.750 0.250
Mg: 0.875 0.250 0.750
Mg: 0.875 0.250 0.250
Mg: 0.428 0.417 0.825
Mg: 0.004 0.675 0.917
Mg: 0.595 0.325 0.083
Mg: 0.671 0.583 0.175
Mg: 0.746 0.583 0.825
Mg: 0.155 0.417 0.175
Mg: 0.079 0.325 0.917
Mg: 0.322 0.675 0.083
Mg: 0.322 0.083 0.675
Mg: 0.746 0.825 0.583
Mg: 0.155 0.175 0.417
Mg: 0.079 0.917 0.325
Mg: 0.004 0.917 0.675
Mg: 0.595 0.083 0.325

VASP energy = -1.793 eV/atom
energy of formation from the pure elements = 0.05 eV/atom

=====

Material: ZnCu2Br
Method: DFT, PBE
State: optimized geometry

Unit cell a=4.611 b=4.611 c=4.611 alpha=60.00 beta=60.00 gamma=60.00
Sites, in units of the cell vectors:
Br: 0.500 0.500 0.500
Cu: 0.000 0.000 0.000
Cu: 0.250 0.250 0.250
Zn: 0.750 0.750 0.750

VASP energy = -2.182 eV/atom
offset from the most stable computed form = 0.557 eV per atom

=====

Material: TmZr2Tc9
Method: DFT, PBE
State: optimized geometry

Unit cell a=5.245 b=5.245 c=9.218 alpha=73.47 beta=73.47 gamma=60.00
Sites, in units of the cell vectors:
Tm: 0.000 0.000 0.000
Zr: 0.857 0.857 0.428
Zr: 0.143 0.143 0.572
Tc: 0.664 0.664 0.008
Tc: 0.336 0.336 0.992
Tc: 0.500 0.500 0.500
Tc: 0.410 0.410 0.255
Tc: 0.924 0.410 0.255
Tc: 0.410 0.924 0.255
Tc: 0.590 0.590 0.745
Tc: 0.590 0.076 0.745
Tc: 0.076 0.590 0.745

VASP energy = -9.716 eV/atom
energy of formation from the pure elements = -0.14 eV/atom

=====

Material: CoHRu
Method: DFT, PBE
State: optimized geometry

Unit cell a=4.324 b=2.699 c=4.617 alpha=90.00 beta=90.08 gamma=90.00
Sites, in units of the cell vectors:
Co: 0.237 0.250 0.422
Co: 0.763 0.750 0.578
H: 0.524 0.250 0.722
H: 0.476 0.750 0.278
Ru: 0.759 0.250 0.087
Ru: 0.241 0.750 0.913

VASP energy = -6.474 eV/atom
offset from the most stable computed form = 0.000 eV per atom

=====

Material: ZnCuI3
Method: DFT, PBE
State: optimized geometry

Unit cell a=5.446 b=5.446 c=5.446 alpha=90.00 beta=90.00 gamma=90.00
Sites, in units of the cell vectors:
I: 0.000 0.500 0.000
I: 0.000 0.000 0.500
I: 0.500 0.000 0.000
Zn: 0.500 0.500 0.500
Cu: 0.000 0.000 0.000

VASP energy = -1.765 eV/atom
offset from the most stable computed form = 0.611 eV per atom

=====

Material: Ce3Si2
Method: DFT, PBE
State: optimized geometry

Unit cell a=4.446 b=5.708 c=5.708 alpha=69.68 beta=67.08 gamma=67.08
Sites, in units of the cell vectors:
Ce: 0.000 0.000 0.000
Ce: 0.785 0.715 0.715
Ce: 0.215 0.285 0.285
Si: 0.500 0.313 0.687
Si: 0.500 0.687 0.313

VASP energy = -6.281 eV/atom

=====

Material: KCa3In
Method: DFT, PBE
State: optimized geometry

Unit cell a=6.183 b=6.183 c=6.183 alpha=90.00 beta=90.00 gamma=90.00
Sites, in units of the cell vectors:
Ca: 0.000 0.500 0.000
Ca: 0.000 0.000 0.500
Ca: 0.500 0.000 0.000
K: 0.500 0.500 0.500
In: 0.000 0.000 0.000

VASP energy = -1.993 eV/atom
offset from the most stable computed form = 0.000 eV per atom
energy of formation from the pure elements = -0.03 eV/atom

=====

Material: PuAlSn
Method: DFT, PBE
State: optimized geometry

Unit cell a=3.484 b=3.484 c=6.274 alpha=106.12 beta=106.12 gamma=90.00
Sites, in units of the cell vectors:
Al: 0.655 0.655 0.310
Sn: 0.019 0.019 0.038
Pu: 0.326 0.326 0.653

VASP energy = -7.517 eV/atom
energy of formation from the pure elements = -0.16 eV/atom

=====

Material: BaNaHg2
Method: DFT, PBE
State: optimized geometry

Unit cell a=5.400 b=5.400 c=10.465 alpha=90.00 beta=90.00 gamma=120.00
Sites, in units of the cell vectors:
Ba: 0.333 0.667 0.250
Ba: 0.667 0.333 0.750
Na: 0.000 0.000 0.500
Na: 0.000 0.000 0.000
Hg: 0.667 0.333 0.417
Hg: 0.333 0.667 0.917
Hg: 0.333 0.667 0.583
Hg: 0.667 0.333 0.083

VASP energy = -1.354 eV/atom
offset from the most stable computed form = 0.000 eV per atom
energy of formation from the pure elements = -0.39 eV/atom

=====

Material: TlTcPt2
Method: DFT, PBE
State: optimized geometry

Unit cell a=9.613 b=9.613 c=9.613 alpha=17.43 beta=17.43 gamma=17.43
Sites, in units of the cell vectors:
Pt: 0.992 0.992 0.992
Pt: 0.508 0.508 0.508
Tc: 0.250 0.250 0.250
Tl: 0.750 0.750 0.750

VASP energy = -5.988 eV/atom
offset from the most stable computed form = 0.126 eV per atom
energy of formation from the pure elements = 0.22 eV/atom

=====

Material: Ca3MgZr
Method: DFT, PBE
State: optimized geometry

Unit cell a=5.752 b=5.752 c=5.752 alpha=90.00 beta=90.00 gamma=90.00
Sites, in units of the cell vectors:
Ca: 0.000 0.500 0.000
Ca: 0.000 0.000 0.500
Ca: 0.500 0.000 0.000
Mg: 0.500 0.500 0.500
Zr: 0.000 0.000 0.000

VASP energy = -2.367 eV/atom
offset from the most stable computed form = 0.029 eV per atom
energy of formation from the pure elements = 0.86 eV/atom

=====

Material: PrAl4Au
Method: DFT, PBE
State: optimized geometry

Unit cell a=6.092 b=6.032 c=8.340 alpha=96.70 beta=123.43 gamma=94.52
Sites, in units of the cell vectors:
Pr: 0.580 0.787 0.870
Pr: 0.420 0.213 0.130
Al: 0.318 0.232 0.702
Al: 0.838 0.335 0.000
Al: 0.682 0.768 0.298
Al: 0.162 0.665 0.000
Al: 0.972 0.891 0.702
Al: 0.271 0.586 0.358
Al: 0.028 0.109 0.298
Al: 0.729 0.414 0.642
Au: 0.500 0.000 0.500
Au: 0.000 0.500 0.500

VASP energy = -4.188 eV/atom
energy of formation from the pure elements = -0.35 eV/atom

=====

Material: Re2NiOsW
Method: DFT, PBE
State: optimized geometry

Unit cell a=4.644 b=4.396 c=4.644 alpha=90.00 beta=90.00 gamma=90.00
Sites, in units of the cell vectors:
Re: 0.000 0.000 0.500
Re: 0.500 0.000 0.000
Os: 0.000 0.000 0.000
W: 0.500 0.500 0.500
Ni: 0.000 0.500 0.000

VASP energy = -8.745 eV/atom
energy of formation from the pure elements = 2.23 eV/atom

=====

Material: TbPm2Ho6Tm3
Method: DFT, PBE
State: optimized geometry

Unit cell a=6.128 b=6.128 c=11.717 alpha=94.99 beta=94.99 gamma=119.94
Sites, in units of the cell vectors:
Tb: 0.000 0.000 0.000
Pm: 0.333 0.667 0.000
Pm: 0.667 0.333 0.000
Ho: 0.915 0.582 0.746
Ho: 0.753 0.753 0.254
Ho: 0.085 0.418 0.254
Ho: 0.582 0.915 0.746
Ho: 0.247 0.247 0.746
Ho: 0.418 0.085 0.254
Tm: 0.167 0.833 0.500
Tm: 0.833 0.167 0.500
Tm: 0.500 0.500 0.500

VASP energy = -4.564 eV/atom
energy of formation from the pure elements = 0.02 eV/atom